! RbCaNdF6, optimized geometry, DFT PBE-GGA; values from VASP
! **Raw formation energy**: -353.7 kJ/mol of atoms
&SYSTEM
  ibrav = 0, nat = 18, ntyp = 4
/
ATOMIC_SPECIES
Rb 85.47 Rb.upf
Ca 40.08 Ca.upf
Nd 144.24 Nd.upf
F 19.00 F.upf
ATOMIC_POSITIONS crystal
Rb 0.285 0.035 0.250
Rb 0.715 0.965 0.750
Ca 0.000 0.000 0.500
Ca 0.000 0.500 0.000
Nd 0.000 0.500 0.500
Nd 0.500 0.500 0.000
F 0.044 0.409 0.224
F 0.044 0.821 0.636
F 0.065 0.815 0.250
F 0.315 0.179 0.724
F 0.315 0.591 0.136
F 0.319 0.569 0.750
F 0.681 0.431 0.250
F 0.685 0.409 0.864
F 0.685 0.821 0.276
F 0.935 0.185 0.750
F 0.956 0.179 0.364
F 0.956 0.591 0.776
CELL_PARAMETERS angstrom
-4.133 4.328 6.058
4.133 -4.328 6.058
4.133 4.328 -6.058